No. 1
A relaxed structure of Ir2WAu, computed with PBE-GGA.

It has space group P4/mmm (No. 123), with a = 2.832 Å, b = 2.832 Å, c = 7.894 Å, α = 90.00°, β = 90.00° and γ = 90.00°. The inequivalent atoms are Ir at (0.000, 0.000, 0.230), W at (0.500, 0.500, 0.000) and Au at (0.500, 0.500, 0.500).

As for the crystal system: tetragonal. For the energy above the lowest structure with this stoichiometry, the calculation gives 0.0 kJ per mole of atoms. The calculation puts the density of states at the Fermi level at 3.6 states/eV/cell. The calculation puts the formation energy at -40 meV per atom.


No. 2
A relaxed structure of IrWAu2, computed with PBE-GGA.

It has space group I4/mmm (No. 139), with a = 3.947 Å, b = 3.947 Å, c = 8.406 Å, α = 90.00°, β = 90.00° and γ = 90.00°. The inequivalent atoms are Ir at (0.000, 0.000, 0.000), W at (0.000, 0.000, 0.500) and Au at (0.000, 0.500, 0.250).

As for the crystal system: tetragonal. For the energy above the lowest structure with this stoichiometry, the calculation gives 33.3 kJ per mole of atoms. The calculation puts the density of states at the Fermi level at 6.0 states/eV/cell. The calculation puts the formation energy at 401 meV per atom.


No. 3
A relaxed structure of Ir2WAu, computed with PBE-GGA.

It has space group R-3m (No. 166, hexagonal axes), with a = 2.8132 Å, b = 2.8132 Å, c = 27.7589 Å, α = 90.00°, β = 90.00° and γ = 120.00°. The inequivalent atoms are Ir at (0.0000, 0.0000, 0.2439), W at (0.0000, 0.0000, 0.5000) and Au at (0.0000, 0.0000, 0.0000).

As for the crystal system: trigonal. For the energy above the lowest structure with this stoichiometry, the calculation gives 2.7 kJ per mole of atoms. The calculation puts the density of states at the Fermi level at 11.5 states/eV/cell. The calculation puts the formation energy at -13 meV per atom.


No. 4
A relaxed structure of IrWAu2, computed with PBE-GGA.

It has space group P4mm (No. 99), with a = 2.866 Å, b = 2.866 Å, c = 8.125 Å, α = 90.00°, β = 90.00° and γ = 90.00°. The inequivalent atoms are Ir at (0.000, 0.000, 0.000), W at (0.500, 0.500, 0.209), Au at (0.000, 0.000, 0.465) and Au at (0.500, 0.500, 0.736).

As for the crystal system: tetragonal. For the energy above the lowest structure with this stoichiometry, the calculation gives 0.0 kJ per mole of atoms. The calculation puts the density of states at the Fermi level at 2.8 states/eV/cell. The calculation puts the formation energy at 56 meV per atom.


No. 5
A relaxed structure of Ir2WAu, computed with PBE-GGA.

It has space group Cm (No. 8), with a = 9.396 Å, b = 2.809 Å, c = 4.821 Å, α = 90.00°, β = 100.55° and γ = 90.00°. The inequivalent atoms are Ir at (0.000, 0.000, 0.000), Ir at (0.239, 0.500, 0.261), W at (0.485, 0.000, 0.478) and Au at (0.243, 0.000, 0.755).

As for the crystal system: monoclinic. For the energy above the lowest structure with this stoichiometry, the calculation gives 18.9 kJ per mole of atoms. The calculation puts the density of states at the Fermi level at 9.2 states/eV/cell. The calculation puts the formation energy at 155 meV per atom.


No. 6
A relaxed structure of Ir2WAu, computed with PBE-GGA.

It has space group Fm-3m (No. 225), with a = 6.336 Å, b = 6.336 Å, c = 6.336 Å, α = 90.00°, β = 90.00° and γ = 90.00°. The inequivalent atoms are Ir at (0.250, 0.250, 0.250), W at (0.000, 0.000, 0.000) and Au at (0.000, 0.000, 0.500).

As for the crystal system: cubic. For the energy above the lowest structure with this stoichiometry, the calculation gives 34.8 kJ per mole of atoms. The calculation puts the density of states at the Fermi level at 26.1 states/eV/cell. The calculation puts the formation energy at 320 meV per atom.


No. 7
A relaxed structure of Ir2W2Au, computed with PBE-GGA.

It has space group P4/mbm (No. 127), with a = 7.690 Å, b = 7.690 Å, c = 2.786 Å, α = 90.00°, β = 90.00° and γ = 90.00°. The inequivalent atoms are Ir at (0.127, 0.373, 0.000), W at (0.166, 0.666, 0.500) and Au at (0.000, 0.000, 0.000).

As for the crystal system: tetragonal. For the energy above the lowest structure with this stoichiometry, the calculation gives 0.0 kJ per mole of atoms. The calculation puts the density of states at the Fermi level at 5.8 states/eV/cell. The calculation puts the formation energy at -8 meV per atom.


No. 8
A relaxed structure of Ir2WAu, computed with PBE-GGA.

It has space group Pmm2 (No. 25), with a = 2.795 Å, b = 4.018 Å, c = 5.581 Å, α = 90.00°, β = 90.00° and γ = 90.00°. The inequivalent atoms are Ir at (0.000, 0.000, 0.000), Ir at (0.500, 0.500, 0.253), W at (0.000, 0.000, 0.467) and Au at (0.500, 0.500, 0.743).

As for the crystal system: orthorhombic. For the energy above the lowest structure with this stoichiometry, the calculation gives 16.0 kJ per mole of atoms. The calculation puts the density of states at the Fermi level at 2.8 states/eV/cell. The calculation puts the formation energy at 126 meV per atom.


No. 9
A relaxed structure of IrWAu2, computed with PBE-GGA.

It has space group R3m (No. 160, hexagonal axes), with a = 2.8475 Å, b = 2.8475 Å, c = 28.4776 Å, α = 90.00°, β = 90.00° and γ = 120.00°. The inequivalent atoms are Ir at (0.0000, 0.0000, 0.0000), W at (0.0000, 0.0000, 0.7394), Au at (0.0000, 0.0000, 0.2465) and Au at (0.0000, 0.0000, 0.4912).

As for the crystal system: trigonal. For the energy above the lowest structure with this stoichiometry, the calculation gives 3.3 kJ per mole of atoms. The calculation puts the density of states at the Fermi level at 8.8 states/eV/cell. The calculation puts the formation energy at 90 meV per atom.


No. 10
A relaxed structure of Ir3WAu, computed with PBE-GGA.

It has space group Pm-3m (No. 221), with a = 4.741 Å, b = 4.741 Å, c = 4.741 Å, α = 90.00°, β = 90.00° and γ = 90.00°. The inequivalent atoms are Ir at (0.000, 0.000, 0.500), W at (0.500, 0.500, 0.500) and Au at (0.000, 0.000, 0.000).

As for the crystal system: cubic. For the energy above the lowest structure with this stoichiometry, the calculation gives 108.5 kJ per mole of atoms. The calculation puts the density of states at the Fermi level at 9.4 states/eV/cell. The calculation puts the formation energy at 2785 meV per atom.


No. 11
A relaxed structure of IrWAu2, computed with PBE-GGA.

It has space group Cm (No. 8), with a = 9.323 Å, b = 2.870 Å, c = 5.000 Å, α = 90.00°, β = 100.00° and γ = 90.00°. The inequivalent atoms are Ir at (0.000, 0.000, 0.000), W at (0.262, 0.000, 0.804), Au at (0.010, 0.500, 0.525) and Au at (0.253, 0.500, 0.286).

As for the crystal system: monoclinic. For the energy above the lowest structure with this stoichiometry, the calculation gives 20.0 kJ per mole of atoms. The calculation puts the density of states at the Fermi level at 5.6 states/eV/cell. The calculation puts the formation energy at 263 meV per atom.


No. 12
A relaxed structure of IrWAu2, computed with PBE-GGA.

It has space group F222 (No. 22), with a = 5.674 Å, b = 5.686 Å, c = 8.067 Å, α = 90.00°, β = 90.00° and γ = 90.00°. The inequivalent atoms are Ir at (0.000, 0.000, 0.000), W at (0.250, 0.250, 0.250), Au at (0.000, 0.000, 0.500) and Au at (0.250, 0.250, 0.750).

As for the crystal system: orthorhombic. For the energy above the lowest structure with this stoichiometry, the calculation gives 26.6 kJ per mole of atoms. The calculation puts the density of states at the Fermi level at 13.9 states/eV/cell. The calculation puts the formation energy at 331 meV per atom.


Please write out number 11 again, unchanged.
A relaxed structure of IrWAu2, computed with PBE-GGA.

It has space group Cm (No. 8), with a = 9.323 Å, b = 2.870 Å, c = 5.000 Å, α = 90.00°, β = 100.00° and γ = 90.00°. The inequivalent atoms are Ir at (0.000, 0.000, 0.000), W at (0.262, 0.000, 0.804), Au at (0.010, 0.500, 0.525) and Au at (0.253, 0.500, 0.286).

As for the crystal system: monoclinic. For the energy above the lowest structure with this stoichiometry, the calculation gives 20.0 kJ per mole of atoms. The calculation puts the density of states at the Fermi level at 5.6 states/eV/cell. The calculation puts the formation energy at 263 meV per atom.


Please write out number 9 again, unchanged.
A relaxed structure of IrWAu2, computed with PBE-GGA.

It has space group R3m (No. 160, hexagonal axes), with a = 2.8475 Å, b = 2.8475 Å, c = 28.4776 Å, α = 90.00°, β = 90.00° and γ = 120.00°. The inequivalent atoms are Ir at (0.0000, 0.0000, 0.0000), W at (0.0000, 0.0000, 0.7394), Au at (0.0000, 0.0000, 0.2465) and Au at (0.0000, 0.0000, 0.4912).

As for the crystal system: trigonal. For the energy above the lowest structure with this stoichiometry, the calculation gives 3.3 kJ per mole of atoms. The calculation puts the density of states at the Fermi level at 8.8 states/eV/cell. The calculation puts the formation energy at 90 meV per atom.


> Which value of energy above the lowest structure with this stoichiometry does entry 9 give?

3.3 kJ per mole of atoms